Below is a relaxed structure of La5Ta, with properties calculated at the PBE-GGA level.

Lattice parameters (Å, degrees): 6.3300 6.3300 5.5638 90.00 90.00 120.00
Fractional positions:
La 0.0000 0.7106 0.0000
La 0.2894 0.2894 0.0000
La 0.3333 0.6667 0.5000
La 0.6667 0.3333 0.5000
La 0.7106 0.0000 0.0000
Ta 0.0000 0.0000 0.5000

Properties
Calculated total energy in eV/cell: -34.8
Energy of formation in eV per atom: 0.2878
Energy relative to the lowest polymorph listed for this composition in meV/atom: 38

Below is a relaxed structure of LaTa2, with properties calculated at the PBE-GGA level.

Lattice parameters (Å, degrees): 6.7896 6.7896 6.7896 133.63 133.63 67.67
Fractional positions:
La 0.2500 0.2500 0.0000
La 0.7500 0.7500 0.0000
Ta 0.1820 0.6820 0.8640
Ta 0.3180 0.1820 0.5000
Ta 0.6820 0.8180 0.5000
Ta 0.8180 0.3180 0.1360

Properties
Calculated total energy in eV/cell: -53.2
Energy of formation in eV per atom: 0.6714
Energy relative to the lowest polymorph listed for this composition in meV/atom: 361

Below is a relaxed structure of LaTa3, with properties calculated at the PBE-GGA level.

Lattice parameters (Å, degrees): 5.7720 5.7720 5.7720 117.16 117.16 117.16
Fractional positions:
La 0.0000 0.0000 0.0000
Ta 0.0000 0.5000 0.5000
Ta 0.5000 0.0000 0.5000
Ta 0.5000 0.5000 0.0000

Properties
Calculated total energy in eV/cell: -38.3
Energy of formation in eV per atom: 0.5438